1.
Density functional theory data (GGA-PBE) for a geometry-optimized TlTe2O5 structure.

POSCAR file:
```
TlTe2O5
1.0
-1.600 3.174 6.425
1.600 -3.174 6.425
1.600 3.174 -6.425
Tl Te O
1 2 5
Direct
0.000 0.000 0.000
0.349 0.849 0.500
0.651 0.151 0.500
0.141 0.356 0.784
0.428 0.644 0.784
0.500 0.000 0.500
0.572 0.356 0.216
0.859 0.644 0.216
```

Results
Total magnetization   1.0 μB/cell
Raw total energy   -39.1 eV per cell
SG   Immm (71)
Uncorrected formation energy   -702 meV/atom



2.
Density functional theory data (GGA-PBE) for a geometry-optimized TlTe2O structure.

POSCAR file:
```
TlTe2O
1.0
1.642 0.948 10.072
-1.642 0.948 10.072
0.000 -1.896 10.072
Tl Te O
1 2 1
Direct
0.000 0.000 0.000
0.108 0.108 0.108
0.892 0.892 0.892
0.500 0.500 0.500
```

Results
Total magnetization   0.0 μB/cell
Offset from the most stable computed form   407 meV/atom
Raw total energy   -12.8 eV per cell
SG   R-3m (166)
Uncorrected formation energy   201 meV/atom



3.
Density functional theory data (GGA-PBE) for a geometry-optimized TlTe3O structure.

POSCAR file:
```
TlTe3O
1.0
5.714 0.000 0.000
0.000 5.714 0.000
0.000 0.000 5.714
Tl Te O
1 3 1
Direct
0.000 0.000 0.000
0.000 0.000 0.500
0.000 0.500 0.000
0.500 0.000 0.000
0.500 0.500 0.500
```

Results
Total magnetization   0.0 μB/cell
Offset from the most stable computed form   1276 meV/atom
Raw total energy   -10.3 eV per cell
SG   Pm-3m (221)
Uncorrected formation energy   1298 meV/atom



4.
Density functional theory data (GGA-PBE) for a geometry-optimized Tl2Te3O7 structure.

POSCAR file:
```
Tl2Te3O7
1.0
6.959 0.000 0.000
-2.858 7.130 0.000
-3.457 -2.073 9.645
Tl Te O
4 6 14
Direct
0.114 0.356 0.168
0.309 0.565 0.564
0.691 0.435 0.436
0.886 0.644 0.832
0.147 0.854 0.238
0.246 0.006 0.666
0.490 0.708 0.990
0.510 0.292 0.010
0.754 0.994 0.334
0.853 0.146 0.762
0.070 0.973 0.371
0.098 0.740 0.632
0.186 0.657 0.325
0.240 0.659 0.037
0.311 0.036 0.865
0.347 0.405 0.879
0.454 0.042 0.307
0.546 0.958 0.693
0.653 0.595 0.121
0.689 0.964 0.135
0.760 0.341 0.963
0.814 0.343 0.675
0.902 0.260 0.368
0.930 0.027 0.629
```

Results
Total magnetization   0.0 μB/cell
Raw total energy   -121.4 eV per cell
SG   P-1 (2)
Uncorrected formation energy   -988 meV/atom



5.
Density functional theory data (GGA-PBE) for a geometry-optimized Tl6TeO8 structure.

POSCAR file:
```
Tl6TeO8
1.0
3.268 1.887 7.564
-3.268 1.887 7.564
0.000 -3.773 7.564
Tl Te O
6 1 8
Direct
0.080 0.375 0.750
0.250 0.920 0.625
0.375 0.750 0.080
0.625 0.250 0.920
0.750 0.080 0.375
0.920 0.625 0.250
0.500 0.500 0.500
0.024 0.695 0.411
0.113 0.113 0.113
0.305 0.589 0.976
0.411 0.024 0.695
0.589 0.976 0.305
0.695 0.411 0.024
0.887 0.887 0.887
0.976 0.305 0.589
```

Results
Total magnetization   0.0 μB/cell
Raw total energy   -63.9 eV per cell
SG   R-3 (148)
Uncorrected formation energy   -459 meV/atom



6.
Density functional theory data (GGA-PBE) for a geometry-optimized TlTe2O structure.

POSCAR file:
```
TlTe2O
1.0
2.417 1.396 7.120
-2.417 1.396 7.120
0.000 -2.791 7.120
Tl Te O
1 2 1
Direct
0.000 0.000 0.000
0.406 0.406 0.406
0.594 0.594 0.594
0.500 0.500 0.500
```

Results
Total magnetization   0.0 μB/cell
Offset from the most stable computed form   197 meV/atom
Raw total energy   -13.6 eV per cell
SG   R-3m (166)
Uncorrected formation energy   -9 meV/atom